Computed, not measured: a geometry-optimized VFeO3 structure at the GGA+U level of DFT.

Calculated values
Its spin magnetization is 7.000 μB/cell. For the total energy, the calculation gives -32.2 eV/cell. The crystal system is cubic. The space group is Pm-3m, No. 221.

a = 3.8073 Å, b = 3.8073 Å, c = 3.8073 Å
α = 90.00°, β = 90.00°, γ = 90.00°
With the nearest neighbours (Å) after each atom.
Sites, in units of the cell vectors:
O (0.0000, 0.0000, 0.5000)  2 Fe 1.90
O (0.5000, 0.0000, 0.0000)  2 Fe 1.90
O (0.0000, 0.5000, 0.0000)  2 Fe 1.90
V (0.5000, 0.5000, 0.5000)  12 O 2.69
Fe (0.0000, 0.0000, 0.0000)  6 O 1.90